# 1
8
Lattice="5.6381 0.0000 0.0000 0.0000 4.3834 0.0000 -1.7303 0.0000 8.2014" Properties=species:S:1:pos:R:3 comment="La2SiIr (PBE-GGA, optimized geometry)" e_tot_ry_per_atom=-0.4998 raw_formation_energy_ev_per_fu=-3.1 dos_ef_per_ev_atom=0.87 magnetic_moment_mub_per_atom=0.00 pbc="T T T"
La 0.4597 1.0958 3.5091
La 1.4152 3.2875 0.6327
La 2.4926 1.0958 7.5687
La 3.4481 3.2875 4.6923
Si 0.5983 3.2875 5.9253
Si 3.3095 1.0958 2.2761
Ir -0.4301 1.0958 6.4094
Ir 4.3378 3.2875 1.7920

# 2
7
Lattice="2.2664 -11.4501 0.0000 2.2664 11.4501 0.0000 0.0000 0.0000 3.4307" Properties=species:S:1:pos:R:3 comment="Ho3In2Hg2 (PBE-GGA, optimized geometry)" e_tot_ry_per_atom=-0.2357 delta_e_f_ev_per_atom=-0.377 dos_ef_per_ev_atom=0.99 magnetic_moment_mub_per_atom=0.00 pbc="T T T"
Ho 0.0000 0.0000 0.0000
Ho 2.2664 8.0110 0.0000
Ho 2.2664 -8.0110 0.0000
In 2.2664 4.8655 1.7154
In 2.2664 -4.8655 1.7154
Hg 2.2664 1.6634 1.7154
Hg 2.2664 -1.6634 1.7154

# 3
6
Lattice="3.7444 0.0000 0.0000 0.0000 3.7444 0.0000 0.0000 0.0000 14.5242" Properties=species:S:1:pos:R:3 comment="La4ErMg (PBE-GGA, optimized geometry)" e_tot_ry_per_atom=-0.3184 delta_e_f_ev_per_atom=-0.020 polymorph_energy_mev_per_atom=0.0 dos_ef_per_ev_atom=1.39 magnetic_moment_mub_per_atom=0.00 pbc="T T T"
La 0.0000 0.0000 2.2380
La 0.0000 0.0000 12.2863
La 1.8722 1.8722 4.7918
La 1.8722 1.8722 9.7325
Er 0.0000 0.0000 7.2621
Mg 1.8722 1.8722 0.0000